Density functional theory data (GGA-PBE) for PmPr3Cu7 after structural relaxation.

Lattice parameters (Å, degrees): 3.930 9.798 12.611 90.00 90.00 101.57
Atoms (fractional coordinates):
Pm  0.024  0.049  0.750
Pm  0.976  0.951  0.250
Cu  0.501  0.002  0.592
Cu  0.374  0.749  0.347
Cu  0.271  0.542  0.455
Cu  0.729  0.458  0.545
Cu  0.374  0.749  0.153
Cu  0.499  0.998  0.408
Cu  0.499  0.998  0.092
Cu  0.626  0.251  0.847
Cu  0.501  0.002  0.908
Cu  0.626  0.251  0.653
Cu  0.591  0.182  0.250
Cu  0.729  0.458  0.955
Cu  0.409  0.818  0.750
Cu  0.271  0.542  0.045
Pr  0.761  0.523  0.250
Pr  0.116  0.232  0.037
Pr  0.884  0.768  0.963
Pr  0.884  0.768  0.537
Pr  0.116  0.232  0.463
Pr  0.239  0.477  0.750

Results
formation energy from the elements: -1.338 eV per formula unit
calculated volume: 476 Å³/cell
space group: No. 63
ρ: 7.07 Mg/m³

=====

Density functional theory data (GGA-PBE) for PmPrCu3 after structural relaxation.

Lattice parameters (Å, degrees): 3.758 4.358 13.275 90.00 98.14 90.00
Atoms (fractional coordinates):
Cu  0.522  0.750  0.045
Cu  0.335  0.750  0.670
Cu  0.478  0.250  0.955
Cu  0.615  0.750  0.231
Cu  0.665  0.250  0.330
Cu  0.385  0.250  0.769
Pm  0.069  0.250  0.138
Pm  0.931  0.750  0.862
Pr  0.202  0.750  0.404
Pr  0.798  0.250  0.596

Results
formation energy from the elements: -0.959 eV per formula unit
calculated volume: 215 Å³/cell
space group: No. 63
ρ: 7.35 Mg/m³

=====

Density functional theory data (GGA-PBE) for PmPrCu2 after structural relaxation.

Lattice parameters (Å, degrees): 5.081 5.081 5.081 60.00 60.00 60.00
Atoms (fractional coordinates):
Pm  0.500  0.500  0.500
Cu  0.750  0.750  0.750
Cu  0.250  0.250  0.250
Pr  0.000  0.000  0.000

Results
formation energy from the elements: -0.542 eV per formula unit
calculated volume: 93 Å³/cell
space group: No. 225
ρ: 7.39 Mg/m³

=====

Number 1: total DFT energy (no corrections) -4.464 eV/atom. Number 2: total DFT energy (no corrections) -4.556 eV/atom. Number 3: total DFT energy (no corrections) -4.566 eV/atom.